The following is a DFT calculation (GGA-PBE) of an optimized crystal structure of Pr4Br5O. Values from VASP.

Symmetry = C2/m, No. 12

Geometry as Quantum ESPRESSO input:
```
&SYSTEM
  ibrav = 0, nat = 10, ntyp = 3
/
ATOMIC_SPECIES
Pr 140.91 Pr.upf
Br 79.90 Br.upf
O 16.00 O.upf
CELL_PARAMETERS angstrom
3.9033 0.0000 0.0000
0.0000 8.3992 0.0069
-1.9516 -2.2185 8.8101
ATOMIC_POSITIONS crystal
Pr 0.6417 0.0710 0.2835
Pr 0.9977 0.2042 0.9953
Pr 0.3583 0.9290 0.7165
Pr 0.0023 0.7958 0.0047
Br 0.1641 0.3485 0.3281
Br 0.1742 0.8186 0.3485
Br 0.8258 0.1814 0.6515
Br 0.5000 0.5000 0.0000
Br 0.8359 0.6515 0.6719
O 0.5000 0.0000 0.0000
```

The following is a DFT calculation (GGA-PBE) of an optimized crystal structure of Pr4Br3O4. Values from VASP.

Symmetry = Immm, No. 71

Geometry as Quantum ESPRESSO input:
```
&SYSTEM
  ibrav = 0, nat = 11, ntyp = 3
/
ATOMIC_SPECIES
Pr 140.91 Pr.upf
Br 79.90 Br.upf
O 16.00 O.upf
CELL_PARAMETERS angstrom
3.6967 0.0000 0.0000
0.0000 8.7418 0.0000
-1.8483 -4.3709 7.1661
ATOMIC_POSITIONS crystal
Pr 0.2012 0.7012 0.4024
Pr 0.7988 0.2988 0.5976
Pr 0.5000 0.7632 0.0000
Pr 0.5000 0.2368 0.0000
Br 0.1148 0.1148 0.2295
Br 0.8852 0.8852 0.7705
Br 0.0000 0.5000 0.0000
O 0.3497 0.1866 0.6994
O 0.6503 0.4872 0.3006
O 0.6503 0.8134 0.3006
O 0.3497 0.5128 0.6994
```

The following is a DFT calculation (GGA-PBE) of an optimized crystal structure of PrBr3O6. Values from VASP.

Symmetry = P2/c, No. 13
Offset from the most stable computed form = 13 meV/atom

Geometry as Quantum ESPRESSO input:
```
&SYSTEM
  ibrav = 0, nat = 20, ntyp = 3
/
ATOMIC_SPECIES
Pr 140.91 Pr.upf
Br 79.90 Br.upf
O 16.00 O.upf
CELL_PARAMETERS angstrom
-6.0803 -2.9557 -3.6890
3.9360 -3.5085 -3.6764
1.6370 -9.7726 5.1319
ATOMIC_POSITIONS crystal
Pr 0.4224 0.5000 0.2500
Pr 0.5776 0.5000 0.7500
Br 0.7116 0.0000 0.2500
Br 0.2884 0.0000 0.7500
Br 0.7138 0.3417 0.4788
Br 0.2862 0.6583 0.5212
Br 0.7138 0.6583 0.0212
Br 0.2862 0.3417 0.9788
O 0.1403 0.0545 0.2874
O 0.8597 0.9455 0.7126
O 0.1403 0.9455 0.2126
O 0.8597 0.0545 0.7874
O 0.2471 0.5130 0.4070
O 0.7529 0.4870 0.5930
O 0.2471 0.4870 0.0930
O 0.7529 0.5130 0.9070
O 0.5779 0.1640 0.3106
O 0.4221 0.8360 0.6894
O 0.5779 0.8360 0.1894
O 0.4221 0.1640 0.8106
```

The following is a DFT calculation (GGA-PBE) of an optimized crystal structure of PrBr3O6. Values from VASP.

Symmetry = P2/c, No. 13
Offset from the most stable computed form = 0 meV/atom

Geometry as Quantum ESPRESSO input:
```
&SYSTEM
  ibrav = 0, nat = 20, ntyp = 3
/
ATOMIC_SPECIES
Pr 140.91 Pr.upf
Br 79.90 Br.upf
O 16.00 O.upf
CELL_PARAMETERS angstrom
6.5206 0.0000 0.0000
0.0000 5.5710 -0.4753
0.0000 2.3168 11.7089
ATOMIC_POSITIONS crystal
Pr 0.6154 0.5000 0.2500
Pr 0.3846 0.5000 0.7500
Br 0.0296 0.0000 0.2500
Br 0.9704 0.0000 0.7500
Br 0.1911 0.7037 0.0349
Br 0.8089 0.2963 0.9651
Br 0.1911 0.2963 0.4651
Br 0.8089 0.7037 0.5349
O 0.8714 0.7960 0.1882
O 0.1286 0.2040 0.8118
O 0.8714 0.2040 0.3118
O 0.1286 0.7960 0.6882
O 0.6520 0.3298 0.0799
O 0.3480 0.6702 0.9201
O 0.6520 0.6702 0.4201
O 0.3480 0.3298 0.5799
O 0.3488 0.7341 0.1520
O 0.6512 0.2659 0.8480
O 0.3488 0.2659 0.3480
O 0.6512 0.7341 0.6520
```

The following is a DFT calculation (GGA-PBE) of an optimized crystal structure of Pr2Br3O. Values from VASP.

Symmetry = C2/m, No. 12

Geometry as Quantum ESPRESSO input:
```
&SYSTEM
  ibrav = 0, nat = 12, ntyp = 3
/
ATOMIC_SPECIES
Pr 140.91 Pr.upf
Br 79.90 Br.upf
O 16.00 O.upf
CELL_PARAMETERS angstrom
4.1573 0.0000 0.0000
2.0787 9.0092 0.3108
2.0787 2.4523 9.8083
ATOMIC_POSITIONS crystal
Pr 0.8667 0.4852 0.7814
Pr 0.1333 0.5148 0.2186
Pr 0.5771 0.3022 0.5436
Pr 0.4229 0.6978 0.4564
Br 0.0404 0.1564 0.7628
Br 0.9596 0.8436 0.2372
Br 0.6660 0.6771 0.9909
Br 0.3340 0.3229 0.0091
Br 0.7772 0.8263 0.6192
Br 0.2228 0.1737 0.3808
O 0.4197 0.4944 0.6662
O 0.5803 0.5056 0.3338
```

The following is a DFT calculation (GGA-PBE) of an optimized crystal structure of PrPuBrO4. Values from VASP.

Symmetry = C2/m, No. 12

Geometry as Quantum ESPRESSO input:
```
&SYSTEM
  ibrav = 0, nat = 14, ntyp = 4
/
ATOMIC_SPECIES
Pr 140.91 Pr.upf
Pu 244.00 Pu.upf
Br 79.90 Br.upf
O 16.00 O.upf
CELL_PARAMETERS angstrom
7.3183 0.7481 -0.0500
3.1300 6.6574 -0.0500
2.0450 1.4494 6.2677
ATOMIC_POSITIONS crystal
Pr 0.2187 0.2187 0.9164
Pr 0.7813 0.7813 0.0836
Pu 0.6251 0.6251 0.7762
Pu 0.3749 0.3749 0.2238
Br 0.9710 0.9710 0.2673
Br 0.0290 0.0290 0.7327
O 0.3322 0.3322 0.5181
O 0.6678 0.6678 0.4819
O 0.0754 0.4513 0.1900
O 0.5736 0.5736 0.0883
O 0.5487 0.9246 0.8100
O 0.4513 0.0754 0.1900
O 0.4264 0.4264 0.9117
O 0.9246 0.5487 0.8100
```

The following is a DFT calculation (GGA-PBE) of an optimized crystal structure of PrReBrO4. Values from VASP.

Symmetry = C2/m, No. 12

Geometry as Quantum ESPRESSO input:
```
&SYSTEM
  ibrav = 0, nat = 14, ntyp = 4
/
ATOMIC_SPECIES
Pr 140.91 Pr.upf
Re 186.21 Re.upf
Br 79.90 Br.upf
O 16.00 O.upf
CELL_PARAMETERS angstrom
6.6005 0.1669 -0.1586
2.3438 6.1726 -0.1586
1.6503 1.1697 6.8913
ATOMIC_POSITIONS crystal
Pr 0.2262 0.2262 0.8899
Pr 0.7738 0.7738 0.1101
Re 0.6314 0.6314 0.7221
Re 0.3686 0.3686 0.2779
Br 0.0111 0.0111 0.2462
Br 0.9889 0.9889 0.7538
O 0.2940 0.2940 0.5254
O 0.7060 0.7060 0.4746
O 0.1292 0.4789 0.1427
O 0.5342 0.5342 0.2141
O 0.5211 0.8708 0.8573
O 0.4789 0.1292 0.1427
O 0.4658 0.4658 0.7859
O 0.8708 0.5211 0.8573
```

The following is a DFT calculation (GGA-PBE) of an optimized crystal structure of Pr8Rh3Br4O. Values from VASP.

Symmetry = R-3m, No. 166

Geometry as Quantum ESPRESSO input:
```
&SYSTEM
  ibrav = 0, nat = 16, ntyp = 4
/
ATOMIC_SPECIES
Pr 140.91 Pr.upf
Rh 102.91 Rh.upf
Br 79.90 Br.upf
O 16.00 O.upf
CELL_PARAMETERS angstrom
-7.4721 -1.7385 2.6020
2.8430 -8.2988 2.6196
4.0086 6.3110 3.1174
ATOMIC_POSITIONS crystal
Pr 0.2205 0.6926 0.9720
Pr 0.2199 0.6920 0.4399
Pr 0.2671 0.3012 0.5343
Pr 0.7515 0.6926 0.9720
Pr 0.2485 0.3074 0.0280
Pr 0.7329 0.6988 0.4657
Pr 0.7801 0.3080 0.5601
Pr 0.7795 0.3074 0.0280
Rh 0.5000 0.5000 0.0000
Rh 0.5000 0.5000 0.5000
Rh 0.0000 0.5000 0.5000
Br 0.5000 0.0000 0.0000
Br 0.5000 0.0000 0.5000
Br 0.0000 0.0000 0.0000
Br 0.0000 0.0000 0.5000
O 0.0000 0.5000 0.0000
```

The following is a DFT calculation (GGA-PBE) of an optimized crystal structure of PrSBrO4. Values from VASP.

Symmetry = C2/m, No. 12

Geometry as Quantum ESPRESSO input:
```
&SYSTEM
  ibrav = 0, nat = 14, ntyp = 4
/
ATOMIC_SPECIES
Pr 140.91 Pr.upf
S 32.06 S.upf
Br 79.90 Br.upf
O 16.00 O.upf
CELL_PARAMETERS angstrom
6.2564 0.0388 -0.2137
2.1090 5.8903 -0.2137
1.4762 1.0463 6.4672
ATOMIC_POSITIONS crystal
Pr 0.2373 0.2373 0.8516
Pr 0.7627 0.7627 0.1484
S 0.6346 0.6346 0.7409
S 0.3654 0.3654 0.2591
Br 0.0265 0.0265 0.2445
Br 0.9735 0.9735 0.7555
O 0.2959 0.2959 0.4761
O 0.7041 0.7041 0.5239
O 0.1556 0.4852 0.1496
O 0.5105 0.5105 0.2338
O 0.5148 0.8444 0.8504
O 0.4852 0.1556 0.1496
O 0.4895 0.4895 0.7662
O 0.8444 0.5148 0.8504
```

The following is a DFT calculation (GGA-PBE) of an optimized crystal structure of PrSeBrO4. Values from VASP.

Symmetry = C2/m, No. 12

Geometry as Quantum ESPRESSO input:
```
&SYSTEM
  ibrav = 0, nat = 14, ntyp = 4
/
ATOMIC_SPECIES
Pr 140.91 Pr.upf
Se 78.96 Se.upf
Br 79.90 Br.upf
O 16.00 O.upf
CELL_PARAMETERS angstrom
6.4347 0.0226 -0.1772
2.1528 6.0639 -0.1772
1.5586 1.1047 6.6796
ATOMIC_POSITIONS crystal
Pr 0.2315 0.2315 0.8625
Pr 0.7685 0.7685 0.1375
Se 0.6355 0.6355 0.7368
Se 0.3645 0.3645 0.2632
Br 0.0221 0.0221 0.2435
Br 0.9779 0.9779 0.7565
O 0.2863 0.2863 0.4995
O 0.7137 0.7137 0.5005
O 0.1401 0.4878 0.1400
O 0.5242 0.5242 0.2338
O 0.5122 0.8599 0.8600
O 0.4878 0.1401 0.1400
O 0.4758 0.4758 0.7662
O 0.8599 0.5122 0.8600
```

The following is a DFT calculation (GGA-PBE) of an optimized crystal structure of PrTeBrO4. Values from VASP.

Symmetry = C2/m, No. 12

Geometry as Quantum ESPRESSO input:
```
&SYSTEM
  ibrav = 0, nat = 14, ntyp = 4
/
ATOMIC_SPECIES
Pr 140.91 Pr.upf
Te 127.60 Te.upf
Br 79.90 Br.upf
O 16.00 O.upf
CELL_PARAMETERS angstrom
6.6450 0.0869 -0.0780
2.2831 6.2411 -0.0780
1.7296 1.2259 6.8952
ATOMIC_POSITIONS crystal
Pr 0.2296 0.2296 0.8740
Pr 0.7704 0.7704 0.1260
Te 0.6347 0.6347 0.7358
Te 0.3653 0.3653 0.2642
Br 0.0114 0.0114 0.2436
Br 0.9886 0.9886 0.7564
O 0.2963 0.2963 0.5252
O 0.7037 0.7037 0.4748
O 0.1188 0.4827 0.1449
O 0.5388 0.5388 0.1988
O 0.5173 0.8812 0.8551
O 0.4827 0.1188 0.1449
O 0.4612 0.4612 0.8012
O 0.8812 0.5173 0.8551
```

The following is a DFT calculation (GGA-PBE) of an optimized crystal structure of PrUBrO4. Values from VASP.

Symmetry = C2/m, No. 12

Geometry as Quantum ESPRESSO input:
```
&SYSTEM
  ibrav = 0, nat = 14, ntyp = 4
/
ATOMIC_SPECIES
Pr 140.91 Pr.upf
U 238.03 U.upf
Br 79.90 Br.upf
O 16.00 O.upf
CELL_PARAMETERS angstrom
6.7063 0.3111 -0.6604
2.5150 6.2247 -0.6604
1.1864 0.8409 6.5762
ATOMIC_POSITIONS crystal
Pr 0.2199 0.2199 0.9083
Pr 0.7801 0.7801 0.0917
U 0.6231 0.6231 0.6414
U 0.3769 0.3769 0.3586
Br 0.0291 0.0291 0.2474
Br 0.9709 0.9709 0.7526
O 0.2363 0.2363 0.5343
O 0.7637 0.7637 0.4657
O 0.1400 0.5015 0.1537
O 0.5536 0.5536 0.3117
O 0.4985 0.8600 0.8463
O 0.5015 0.1400 0.1537
O 0.4464 0.4464 0.6883
O 0.8600 0.4985 0.8463
```

Computed total DFT energy (no corrections), in the same sequence as the records: -5.046; -6.417; -4.552; -4.566; -5.536; -8.243; -7.589; -5.717; -6.393; -5.861; -5.879; -8.165 eV/atom.
Computed theoretical density, in the same sequence as the records: 5.63; 6.22; 3.01; 3.66; 4.90; 6.02; 5.58; 6.58; 4.37; 4.60; 4.79; 6.28 g cm⁻³.